MgMn2O5 (PBE+U, relaxed); uncorrected energy = -6.59 eV per atom; calculated density = 3.83 g cm⁻³; E above lowest polymorph = 0.013 eV per atom; Fermi-level density of states = 1.3 states/eV/f.u.
1.0
3.5621 0.0000 0.0000
0.0000 4.4968 0.0000
0.0000 0.0000 11.6044
O Mn Mg
10 4 2
Cartesian
1.7811 4.1496 4.4890
0.0000 1.9623 7.8466
1.7811 2.5345 9.5600
1.7811 1.7774 5.8022
0.0000 0.3472 10.2912
0.0000 0.3472 1.3132
0.0000 1.9623 3.7578
0.0000 2.7194 0.0000
1.7811 2.5345 2.0444
1.7811 4.1496 7.1154
0.0000 2.0571 1.7524
1.7811 2.4397 4.0498
0.0000 2.0571 9.8520
1.7811 2.4397 7.5546
1.7811 4.1752 0.0000
0.0000 0.3216 5.8022